1.
DFT (PBE) results for AcPr7Sm4 after structural relaxation.

Summary:
* energy: -4.486 eV per atom
* volume: 441.6 Å³/cell
* spin magnetization: 0.27 μB per formula unit

Structure (POSCAR):
```
AcPr7Sm4
1.0
8.202 -3.135 0.000
8.202 3.135 0.000
-4.314 0.000 8.587
Ac Pr Sm
1 7 4
direct
0.000 0.000 0.000
0.091 0.091 0.462
0.214 0.214 0.892
0.228 0.228 0.261
0.500 0.500 0.000
0.772 0.772 0.739
0.786 0.786 0.108
0.909 0.909 0.538
0.332 0.332 0.643
0.434 0.434 0.298
0.566 0.566 0.702
0.668 0.668 0.357
```

***

2.
DFT (PBE) results for Ac3Pr4Sm after structural relaxation.

Summary:
* energy: -4.496 eV per atom
* volume: 622.5 Å³/cell
* spin magnetization: 0.00 μB per formula unit

Structure (POSCAR):
```
Ac3Pr4Sm
1.0
10.836 0.000 0.000
0.000 7.585 0.000
0.000 0.000 7.574
Ac Pr Sm
6 8 2
direct
0.000 0.000 0.000
0.250 0.256 0.250
0.250 0.744 0.750
0.500 0.000 0.500
0.750 0.256 0.250
0.750 0.744 0.750
0.000 0.000 0.500
0.000 0.500 0.000
0.250 0.252 0.750
0.250 0.748 0.250
0.500 0.000 0.000
0.500 0.500 0.500
0.750 0.252 0.750
0.750 0.748 0.250
0.000 0.500 0.500
0.500 0.500 0.000
```

***

3.
DFT (PBE) results for Ac2Pr2Sm7 after structural relaxation.

Summary:
* energy: -4.465 eV per atom
* volume: 404.3 Å³/cell
* spin magnetization: 0.00 μB per formula unit

Structure (POSCAR):
```
Ac2Pr2Sm7
1.0
5.928 -5.890 0.000
5.928 5.890 0.000
-2.569 0.000 5.790
Ac Pr Sm
2 2 7
direct
0.216 0.784 0.000
0.784 0.216 0.000
0.247 0.247 0.083
0.753 0.753 0.917
0.000 0.000 0.500
0.062 0.596 0.344
0.404 0.404 0.682
0.404 0.938 0.656
0.596 0.062 0.344
0.596 0.596 0.318
0.938 0.404 0.656
```

***

4.
DFT (PBE) results for Ac7PrSm12 after structural relaxation.

Summary:
* energy: -3.703 eV per atom
* volume: 886.3 Å³/cell
* spin magnetization: 0.00 μB per formula unit

Structure (POSCAR):
```
Ac7PrSm12
1.0
-6.051 6.051 6.051
6.051 -6.051 6.051
6.051 6.051 -6.051
Ac Pr Sm
7 1 12
direct
0.000 0.000 0.500
0.000 0.500 0.000
0.000 0.500 0.500
0.500 0.000 0.000
0.500 0.000 0.500
0.500 0.500 0.000
0.500 0.500 0.500
0.000 0.000 0.000
0.081 0.754 0.327
0.246 0.327 0.573
0.246 0.673 0.919
0.327 0.081 0.754
0.327 0.573 0.246
0.427 0.754 0.673
0.573 0.246 0.327
0.673 0.427 0.754
0.673 0.919 0.246
0.754 0.327 0.081
0.754 0.673 0.427
0.919 0.246 0.673
```

***

5.
DFT (PBE) results for Ac4PrSm2 after structural relaxation.

Summary:
* energy: -4.339 eV per atom
* volume: 567.3 Å³/cell
* spin magnetization: 0.00 μB per formula unit

Structure (POSCAR):
```
Ac4PrSm2
1.0
3.343 -13.467 0.000
3.343 13.467 0.000
-2.209 0.000 6.300
Ac Pr Sm
8 2 4
direct
0.036 0.964 0.750
0.177 0.823 0.750
0.250 0.750 0.250
0.461 0.539 0.750
0.539 0.461 0.250
0.750 0.250 0.750
0.823 0.177 0.250
0.964 0.036 0.250
0.392 0.608 0.250
0.608 0.392 0.750
0.109 0.891 0.250
0.323 0.677 0.750
0.677 0.323 0.250
0.891 0.109 0.750
```

***

6.
DFT (PBE) results for Ac5Pr2Sm2 after structural relaxation.

Summary:
* energy: -4.302 eV per atom
* volume: 365.8 Å³/cell
* spin magnetization: 0.00 μB per formula unit

Structure (POSCAR):
```
Ac5Pr2Sm2
1.0
8.845 -3.145 0.000
8.845 3.145 0.000
-1.723 0.000 6.576
Ac Pr Sm
5 2 2
direct
0.000 0.000 0.000
0.123 0.123 0.583
0.351 0.351 0.721
0.649 0.649 0.279
0.877 0.877 0.417
0.239 0.239 0.143
0.761 0.761 0.857
0.445 0.445 0.262
0.555 0.555 0.738
```

***

7.
DFT (PBE) results for AcPr8Sm2 after structural relaxation.

Summary:
* energy: -4.598 eV per atom
* volume: 406.8 Å³/cell
* spin magnetization: 0.00 μB per formula unit

Structure (POSCAR):
```
AcPr8Sm2
1.0
-2.858 4.328 8.223
2.858 -4.328 8.223
2.858 4.328 -8.223
Ac Pr Sm
1 8 2
direct
0.000 0.000 0.000
0.153 0.856 0.297
0.159 0.659 0.500
0.297 0.500 0.797
0.442 0.144 0.297
0.558 0.856 0.703
0.703 0.500 0.203
0.841 0.341 0.500
0.847 0.144 0.703
0.299 0.299 0.000
0.701 0.701 0.000
```

***

8.
DFT (PBE) results for Ac5Pr6Sm after structural relaxation.

Summary:
* energy: -4.467 eV per atom
* volume: 474.0 Å³/cell
* spin magnetization: 0.00 μB per formula unit

Structure (POSCAR):
```
Ac5Pr6Sm
1.0
-2.723 5.336 8.154
2.723 -5.336 8.154
2.723 5.336 -8.154
Ac Pr Sm
5 6 1
direct
0.000 0.000 0.000
0.167 0.667 0.500
0.337 0.337 0.000
0.663 0.663 0.000
0.833 0.333 0.500
0.087 0.835 0.252
0.253 0.500 0.753
0.417 0.165 0.252
0.583 0.835 0.748
0.747 0.500 0.247
0.913 0.165 0.748
0.500 0.000 0.500
```

***

9.
DFT (PBE) results for Ac2PrSm after structural relaxation.

Summary:
* energy: -4.392 eV per atom
* volume: 477.7 Å³/cell
* spin magnetization: 0.00 μB per formula unit

Structure (POSCAR):
```
Ac2PrSm
1.0
3.862 0.000 0.000
-1.931 3.344 0.000
0.000 0.000 36.987
Ac Pr Sm
6 3 3
direct
0.000 0.000 0.000
0.000 0.000 0.164
0.333 0.667 0.667
0.333 0.667 0.831
0.667 0.333 0.333
0.667 0.333 0.498
0.000 0.000 0.584
0.333 0.667 0.250
0.667 0.333 0.917
0.000 0.000 0.415
0.333 0.667 0.082
0.667 0.333 0.749
```

***

10.
DFT (PBE) results for Ac8PrSm5 after structural relaxation.

Summary:
* energy: -4.185 eV per atom
* volume: 581.8 Å³/cell
* spin magnetization: 0.00 μB per formula unit

Structure (POSCAR):
```
Ac8PrSm5
1.0
9.076 0.000 0.000
-3.270 8.509 0.000
-3.268 -3.961 7.534
Ac Pr Sm
8 1 5
direct
0.000 0.000 0.000
0.014 0.103 0.612
0.139 0.586 0.935
0.349 0.936 0.797
0.474 0.738 0.438
0.487 0.140 0.350
0.647 0.499 0.832
0.839 0.324 0.198
0.242 0.416 0.518
0.042 0.788 0.298
0.444 0.395 0.096
0.649 0.842 0.148
0.743 0.165 0.770
0.840 0.637 0.541
```